No. 1
# PBE Pr6Y8Cd, optimized geometry
# DOS(E_F)   19.3 states/eV per cell
# Uncorrected energy   -80.26 eV/cell
# Mass density   5.428 Mg/m³
# Formation enthalpy at 0 K   0.07 eV per atom
# Crystal system   trigonal
data_Pr6Y8Cd
_cell_length_a 6.326
_cell_length_b 9.654
_cell_length_c 9.654
_cell_angle_alpha 120.00
_cell_angle_beta 90.00
_cell_angle_gamma 90.00
_symmetry_space_group_name_H-M 'P 1'
_symmetry_Int_Tables_number 1
loop_
_symmetry_equiv_pos_as_xyz
'x,y,z'
loop_
_atom_site_label
_atom_site_type_symbol
_atom_site_fract_x
_atom_site_fract_y
_atom_site_fract_z
_atom_site_occupancy
Pr1 Pr 0.694 0.635 0.090 1
Pr2 Pr 0.694 0.910 0.545 1
Pr3 Pr 0.694 0.455 0.365 1
Pr4 Pr 0.306 0.365 0.910 1
Pr5 Pr 0.306 0.090 0.455 1
Pr6 Pr 0.306 0.545 0.635 1
Y1 Y 0.803 0.041 0.260 1
Y2 Y 0.803 0.740 0.781 1
Y3 Y 0.803 0.219 0.959 1
Y4 Y 0.197 0.959 0.740 1
Y5 Y 0.197 0.260 0.219 1
Y6 Y 0.197 0.781 0.041 1
Y7 Y 0.812 0.333 0.667 1
Y8 Y 0.188 0.667 0.333 1
Cd1 Cd 0.500 0.000 0.000 1


No. 2
# PBE TlPBrO2, optimized geometry
# DOS(E_F)   4.1 states/eV per cell
# Uncorrected energy   -16.46 eV/cell
# Mass density   5.307 Mg/m³
# E_form (uncorrected)   0.582 eV/atom
# ΔE to the lowest computed polymorph   30 meV/atom
# Crystal system   tetragonal
data_TlPBrO2
_cell_length_a 4.096
_cell_length_b 4.096
_cell_length_c 6.475
_cell_angle_alpha 90.00
_cell_angle_beta 90.00
_cell_angle_gamma 90.00
_symmetry_space_group_name_H-M 'P 1'
_symmetry_Int_Tables_number 1
loop_
_symmetry_equiv_pos_as_xyz
'x,y,z'
loop_
_atom_site_label
_atom_site_type_symbol
_atom_site_fract_x
_atom_site_fract_y
_atom_site_fract_z
_atom_site_occupancy
P1 P 0.000 0.000 0.500 1
Tl1 Tl 0.000 0.000 0.000 1
O1 O 0.000 0.500 0.000 1
O2 O 0.500 0.000 0.000 1
Br1 Br 0.500 0.500 0.500 1


No. 3
# PBE Cr2Cd2Te, optimized geometry
# DOS(E_F)   4.3 states/eV per cell
# Uncorrected energy   -21.19 eV/cell
# Mass density   7.392 Mg/m³
# E_form (uncorrected)   0.605 eV/atom
# ΔE to the lowest computed polymorph   191 meV/atom
# Crystal system   tetragonal
data_Cr2Cd2Te
_cell_length_a 3.976
_cell_length_b 3.976
_cell_length_c 7.068
_cell_angle_alpha 73.66
_cell_angle_beta 73.66
_cell_angle_gamma 90.00
_symmetry_space_group_name_H-M 'P 1'
_symmetry_Int_Tables_number 1
loop_
_symmetry_equiv_pos_as_xyz
'x,y,z'
loop_
_atom_site_label
_atom_site_type_symbol
_atom_site_fract_x
_atom_site_fract_y
_atom_site_fract_z
_atom_site_occupancy
Cr1 Cr 0.423 0.423 0.153 1
Cr2 Cr 0.577 0.577 0.847 1
Te1 Te 0.000 0.000 0.000 1
Cd1 Cd 0.750 0.250 0.500 1
Cd2 Cd 0.250 0.750 0.500 1


No. 4
# PBE Tl4IrAu2, optimized geometry
# DOS(E_F)   2.4 states/eV per cell
# Uncorrected energy   -23.63 eV/cell
# Mass density   11.549 Mg/m³
# Formation enthalpy at 0 K   0.18 eV per atom
# Crystal system   tetragonal
data_Tl4IrAu2
_cell_length_a 5.457
_cell_length_b 5.457
_cell_length_c 7.799
_cell_angle_alpha 69.52
_cell_angle_beta 69.52
_cell_angle_gamma 90.00
_symmetry_space_group_name_H-M 'P 1'
_symmetry_Int_Tables_number 1
loop_
_symmetry_equiv_pos_as_xyz
'x,y,z'
loop_
_atom_site_label
_atom_site_type_symbol
_atom_site_fract_x
_atom_site_fract_y
_atom_site_fract_z
_atom_site_occupancy
Tl1 Tl 0.805 0.805 0.389 1
Tl2 Tl 0.195 0.195 0.611 1
Tl3 Tl 0.000 0.500 0.000 1
Tl4 Tl 0.500 0.000 0.000 1
Ir1 Ir 0.000 0.000 0.000 1
Au1 Au 0.604 0.604 0.792 1
Au2 Au 0.396 0.396 0.208 1


No. 5
# PBE HfZr2RhN, optimized geometry
# DOS(E_F)   5.9 states/eV per cell
# Uncorrected energy   -47.30 eV/cell
# Mass density   9.218 Mg/m³
# E_form (uncorrected)   -0.915 eV/atom
# Crystal system   tetragonal
data_HfZr2RhN
_cell_length_a 4.446
_cell_length_b 4.446
_cell_length_c 4.355
_cell_angle_alpha 90.00
_cell_angle_beta 90.00
_cell_angle_gamma 90.00
_symmetry_space_group_name_H-M 'P 1'
_symmetry_Int_Tables_number 1
loop_
_symmetry_equiv_pos_as_xyz
'x,y,z'
loop_
_atom_site_label
_atom_site_type_symbol
_atom_site_fract_x
_atom_site_fract_y
_atom_site_fract_z
_atom_site_occupancy
Rh1 Rh 0.500 0.500 0.500 1
Hf1 Hf 0.000 0.000 0.500 1
Zr1 Zr 0.000 0.500 0.000 1
Zr2 Zr 0.500 0.000 0.000 1
N1 N 0.000 0.000 0.000 1


No. 6
# PBE La2YZnS5, optimized geometry
# DOS(E_F)   2.3 states/eV per cell
# Uncorrected energy   -109.67 eV/cell
# Mass density   4.844 Mg/m³
# E_form (uncorrected)   -1.845 eV/atom
# Crystal system   orthorhombic
data_La2YZnS5
_cell_length_a 3.934
_cell_length_b 8.736
_cell_length_c 12.129
_cell_angle_alpha 90.00
_cell_angle_beta 90.00
_cell_angle_gamma 103.01
_symmetry_space_group_name_H-M 'P 1'
_symmetry_Int_Tables_number 1
loop_
_symmetry_equiv_pos_as_xyz
'x,y,z'
loop_
_atom_site_label
_atom_site_type_symbol
_atom_site_fract_x
_atom_site_fract_y
_atom_site_fract_z
_atom_site_occupancy
La1 La 0.870 0.741 0.827 1
La2 La 0.116 0.233 0.688 1
La3 La 0.130 0.259 0.327 1
La4 La 0.884 0.767 0.188 1
Y1 Y 0.805 0.610 0.520 1
Y2 Y 0.195 0.390 0.020 1
Zn1 Zn 0.547 0.093 0.939 1
Zn2 Zn 0.453 0.907 0.439 1
S1 S 0.354 0.707 0.009 1
S2 S 0.684 0.369 0.860 1
S3 S 0.493 0.986 0.766 1
S4 S 0.295 0.590 0.677 1
S5 S 0.965 0.931 0.539 1
S6 S 0.646 0.293 0.509 1
S7 S 0.316 0.631 0.360 1
S8 S 0.507 0.014 0.266 1
S9 S 0.705 0.410 0.177 1
S10 S 0.035 0.069 0.039 1


No. 7
# PBE BaNaWS4, optimized geometry
# DOS(E_F)   7.8 states/eV per cell
# Uncorrected energy   -80.26 eV/cell
# Mass density   4.068 Mg/m³
# E_form (uncorrected)   -1.061 eV/atom
# Crystal system   monoclinic
data_BaNaWS4
_cell_length_a 6.946
_cell_length_b 6.828
_cell_length_c 8.560
_cell_angle_alpha 90.00
_cell_angle_beta 108.19
_cell_angle_gamma 90.00
_symmetry_space_group_name_H-M 'P 1'
_symmetry_Int_Tables_number 1
loop_
_symmetry_equiv_pos_as_xyz
'x,y,z'
loop_
_atom_site_label
_atom_site_type_symbol
_atom_site_fract_x
_atom_site_fract_y
_atom_site_fract_z
_atom_site_occupancy
Ba1 Ba 0.728 0.750 0.932 1
Ba2 Ba 0.272 0.250 0.068 1
Na1 Na 0.773 0.750 0.450 1
Na2 Na 0.227 0.250 0.550 1
W1 W 0.228 0.750 0.312 1
W2 W 0.772 0.250 0.688 1
S1 S 0.989 0.505 0.748 1
S2 S 0.011 0.005 0.252 1
S3 S 0.011 0.495 0.252 1
S4 S 0.989 0.995 0.748 1
S5 S 0.420 0.750 0.142 1
S6 S 0.580 0.250 0.858 1
S7 S 0.407 0.750 0.576 1
S8 S 0.593 0.250 0.424 1


No. 8
# PBE PuPbO3, optimized geometry
# DOS(E_F)   3.9 states/eV per cell
# Uncorrected energy   -43.51 eV/cell
# Mass density   10.046 Mg/m³
# E_form (uncorrected)   -2.120 eV/atom
# Crystal system   cubic
data_PuPbO3
_cell_length_a 4.354
_cell_length_b 4.354
_cell_length_c 4.354
_cell_angle_alpha 90.00
_cell_angle_beta 90.00
_cell_angle_gamma 90.00
_symmetry_space_group_name_H-M 'P 1'
_symmetry_Int_Tables_number 1
loop_
_symmetry_equiv_pos_as_xyz
'x,y,z'
loop_
_atom_site_label
_atom_site_type_symbol
_atom_site_fract_x
_atom_site_fract_y
_atom_site_fract_z
_atom_site_occupancy
Pb1 Pb 0.000 0.000 0.000 1
O1 O 0.000 0.500 0.500 1
O2 O 0.500 0.000 0.500 1
O3 O 0.500 0.500 0.000 1
Pu1 Pu 0.500 0.500 0.500 1